1.
Material: VGaO2F
Method: DFT, GGA+U
State: optimized geometry

abc: 3.8381 3.8381 4.1631
angles: 90.00 90.00 90.00
Closest atoms and distances in Å follow each position.
Fractional positions:
F  0.0000  0.0000  0.5000  2 V 2.08
V  0.0000  0.0000  0.0000  4 O 1.92, 2 F 2.08
Ga  0.5000  0.5000  0.5000  4 F 2.71, 8 O 2.83
O  0.5000  0.0000  0.0000  2 V 1.92
O  0.0000  0.5000  0.0000  2 V 1.92

## Properties
DOS(E_F) ... 0.7 states/eV/f.u.
E ... -30.43 eV per cell
Total magnetic moment ... 1.00 μB/cell



2.
Material: VGaO2F
Method: DFT, GGA+U
State: optimized geometry

abc: 3.8610 3.8610 3.8103
angles: 90.00 90.00 90.00
Closest atoms and distances in Å follow each position.
Fractional positions:
O  0.5000  0.0000  0.0000  2 Ga 1.93
F  0.0000  0.0000  0.5000  2 Ga 1.91
O  0.0000  0.5000  0.0000  2 Ga 1.93
V  0.5000  0.5000  0.5000  8 O 2.71, 4 F 2.73
Ga  0.0000  0.0000  0.0000  2 F 1.91, 4 O 1.93

## Properties
E ... -29.43 eV per cell
Total magnetic moment ... 3.00 μB/cell



3.
Material: V3GaO2F6
Method: DFT, GGA+U
State: optimized geometry

abc: 4.4232 6.2392 6.2476
angles: 119.96 95.94 90.00
Closest atoms and distances in Å follow each position.
Fractional positions:
F  0.7266  0.8604  0.7207  1 Ga 1.91, 2 V 2.14
O  0.7170  0.3376  0.6752  3 V 2.01-2.03
V  0.5000  0.5000  0.5000  2 O 2.01, 4 F 2.14-2.21
O  0.2830  0.6624  0.3248  3 V 2.01-2.03
V  0.0000  0.5000  0.0000  2 O 2.03
F  0.2734  0.1396  0.2793  1 Ga 1.91, 2 V 2.14
F  0.7432  0.8565  0.1680  1 Ga 1.94
Ga  0.5000  0.0000  0.0000  6 F 1.91-1.94
F  0.2568  0.1435  0.8320  1 Ga 1.94
F  0.7432  0.3115  0.1680  1 Ga 1.94
V  0.5000  0.0000  0.5000  2 O 2.01, 4 F 2.14-2.21
F  0.2568  0.6885  0.8320  1 Ga 1.94

## Properties
DOS(E_F) ... 1.0 states/eV/f.u.
E ... -73.83 eV per cell
Total magnetic moment ... 8.00 μB/cell



4.
Material: GaWO2F
Method: DFT, GGA+U
State: optimized geometry

abc: 4.0803 4.0803 4.2882
angles: 90.00 90.00 90.00
Closest atoms and distances in Å follow each position.
Fractional positions:
Ga  0.5000  0.5000  0.5000  4 F 2.89, 8 O 2.96
O  0.5000  0.0000  0.0000  2 W 2.04
W  0.0000  0.0000  0.0000  4 O 2.04, 2 F 2.14
O  0.0000  0.5000  0.0000  2 W 2.04
F  0.0000  0.0000  0.5000  2 W 2.14

## Properties
DOS(E_F) ... 0.0 states/eV/f.u.
E ... -30.02 eV per cell
Total magnetic moment ... 2.00 μB/cell



5.
Material: GaWO2F
Method: DFT, GGA+U
State: optimized geometry

abc: 3.9383 3.9383 3.8556
angles: 90.00 90.00 90.00
Closest atoms and distances in Å follow each position.
Fractional positions:
Ga  0.0000  0.0000  0.0000  2 F 1.93, 4 O 1.97
W  0.5000  0.5000  0.5000  8 O 2.76, 4 F 2.78
F  0.0000  0.0000  0.5000  2 Ga 1.93
O  0.0000  0.5000  0.0000  2 Ga 1.97
O  0.5000  0.0000  0.0000  2 Ga 1.97

## Properties
DOS(E_F) ... 2.1 states/eV/f.u.
E ... -26.56 eV per cell
Total magnetic moment ... 3.94 μB/cell



> Number 3 is which compound?

V3GaO2F6